! GGA-PBE Tl8CdHg2, relaxed; values from VASP
! Density ... 9.94 g cm⁻³
! Energy above the lowest structure with this stoichiometry ... 0.046 eV per atom
! Formation energy ... 0.079 eV per atom
! Crystal system ... monoclinic
! Symmetry ... No. 12
&SYSTEM
  ibrav = 0, nat = 11, ntyp = 3
/
ATOMIC_SPECIES
Tl 204.38 Tl.upf
Cd 112.41 Cd.upf
Hg 200.59 Hg.upf
ATOMIC_POSITIONS crystal
Tl 0.315 0.392 0.392
Tl 0.901 0.243 0.243
Tl 0.099 0.757 0.757
Tl 0.205 0.809 0.352
Tl 0.685 0.608 0.608
Tl 0.205 0.352 0.809
Tl 0.795 0.191 0.648
Tl 0.795 0.648 0.191
Cd 0.000 0.000 0.000
Hg 0.475 0.129 0.129
Hg 0.525 0.871 0.871
CELL_PARAMETERS angstrom
-1.814 2.269 -4.741
1.722 -6.076 -5.415
-7.103 -4.179 -1.131

! GGA-PBE TlCd3Hg7, relaxed; values from VASP
! Density ... 10.77 g cm⁻³
! Formation energy ... 0.034 eV per atom
! Crystal system ... trigonal
! Symmetry ... No. 156
&SYSTEM
  ibrav = 0, nat = 11, ntyp = 3
/
ATOMIC_SPECIES
Hg 200.59 Hg.upf
Cd 112.41 Cd.upf
Tl 204.38 Tl.upf
ATOMIC_POSITIONS crystal
Hg 0.083 0.699 0.850
Hg 0.083 0.150 0.301
Hg 0.472 0.301 0.150
Hg 0.472 0.850 0.150
Hg 0.153 0.667 0.333
Hg 0.472 0.850 0.699
Hg 0.083 0.150 0.850
Cd 0.789 0.510 0.020
Cd 0.789 0.980 0.490
Cd 0.789 0.510 0.490
Tl 0.433 0.333 0.667
CELL_PARAMETERS angstrom
6.854 0.000 0.000
0.000 7.108 0.000
0.000 -3.554 6.155

! GGA-PBE Tl2CdHg, relaxed; values from VASP
! Density ... 10.60 g cm⁻³
! Energy above the lowest structure with this stoichiometry ... 0.016 eV per atom
! Formation energy ... 0.028 eV per atom
! Crystal system ... monoclinic
! Symmetry ... No. 12
&SYSTEM
  ibrav = 0, nat = 4, ntyp = 3
/
ATOMIC_SPECIES
Hg 200.59 Hg.upf
Cd 112.41 Cd.upf
Tl 204.38 Tl.upf
ATOMIC_POSITIONS crystal
Hg 0.500 0.500 0.000
Cd 0.000 0.500 0.500
Tl 0.500 0.000 0.500
Tl 0.000 0.000 0.000
CELL_PARAMETERS angstrom
-0.903 4.488 3.925
-0.142 -5.896 2.384
3.071 -0.245 1.600

! GGA-PBE Tl8Cd5Hg, relaxed; values from VASP
! Density ... 9.76 g cm⁻³
! Formation energy ... 0.068 eV per atom
! Crystal system ... tetragonal
! Symmetry ... No. 82
&SYSTEM
  ibrav = 0, nat = 14, ntyp = 3
/
ATOMIC_SPECIES
Cd 112.41 Cd.upf
Tl 204.38 Tl.upf
Hg 200.59 Hg.upf
ATOMIC_POSITIONS crystal
Cd 0.023 0.315 0.110
Cd 0.890 0.913 0.204
Cd 0.500 0.000 0.500
Cd 0.796 0.685 0.709
Cd 0.291 0.087 0.977
Tl 0.572 0.908 0.855
Tl 0.086 0.730 0.477
Tl 0.145 0.717 0.054
Tl 0.523 0.609 0.253
Tl 0.747 0.270 0.356
Tl 0.946 0.092 0.663
Tl 0.337 0.283 0.428
Tl 0.644 0.391 0.914
Hg 0.250 0.500 0.750
CELL_PARAMETERS angstrom
7.649 0.000 -2.642
-3.811 6.598 -2.725
-0.027 0.000 8.092

! GGA-PBE TlCdHg2, relaxed; values from VASP
! Density ... 10.99 g cm⁻³
! Energy above the lowest structure with this stoichiometry ... 0.029 eV per atom
! Formation energy ... 0.022 eV per atom
! Crystal system ... cubic
! Symmetry ... No. 225
&SYSTEM
  ibrav = 0, nat = 4, ntyp = 3
/
ATOMIC_SPECIES
Tl 204.38 Tl.upf
Cd 112.41 Cd.upf
Hg 200.59 Hg.upf
ATOMIC_POSITIONS crystal
Tl 0.500 0.500 0.500
Cd 0.000 0.000 0.000
Hg 0.750 0.750 0.750
Hg 0.250 0.250 0.250
CELL_PARAMETERS angstrom
0.000 3.785 3.785
3.785 0.000 3.785
3.785 3.785 0.000

! GGA-PBE Tl17Cd11Hg, relaxed; values from VASP
! Density ... 10.04 g cm⁻³
! Formation energy ... 0.020 eV per atom
! Crystal system ... monoclinic
! Symmetry ... No. 8
&SYSTEM
  ibrav = 0, nat = 29, ntyp = 3
/
ATOMIC_SPECIES
Cd 112.41 Cd.upf
Tl 204.38 Tl.upf
Hg 200.59 Hg.upf
ATOMIC_POSITIONS crystal
Cd 0.821 0.186 0.185
Cd 0.815 0.000 0.636
Cd 0.999 0.635 0.815
Cd 0.816 0.636 0.000
Cd 0.184 0.184 0.816
Cd 0.186 0.821 0.185
Cd 0.365 0.179 0.367
Cd 0.179 0.365 0.367
Cd 0.000 0.815 0.636
Cd 0.635 0.999 0.815
Cd 0.636 0.816 0.000
Tl 0.000 0.319 0.605
Tl 0.285 0.681 0.681
Tl 0.319 0.000 0.605
Tl 0.001 0.001 0.354
Tl 0.715 0.396 0.396
Tl 0.396 0.715 0.396
Tl 0.999 0.354 0.000
Tl 0.646 0.646 0.645
Tl 0.398 0.398 0.717
Tl 0.998 0.998 0.998
Tl 0.606 0.001 0.320
Tl 0.319 0.606 0.000
Tl 0.681 0.285 0.681
Tl 0.001 0.606 0.320
Tl 0.606 0.319 0.000
Tl 0.681 0.681 0.284
Tl 0.354 0.999 0.000
Hg 0.360 0.360 0.176
CELL_PARAMETERS angstrom
9.611 -0.035 -3.384
-4.771 8.343 -3.384
-0.006 -0.010 10.162

! GGA-PBE Tl2Cd5Hg12, relaxed; values from VASP
! Density ... 10.36 g cm⁻³
! Energy above the lowest structure with this stoichiometry ... 0.014 eV per atom
! Formation energy ... 0.045 eV per atom
! Crystal system ... monoclinic
! Symmetry ... No. 12
&SYSTEM
  ibrav = 0, nat = 19, ntyp = 3
/
ATOMIC_SPECIES
Tl 204.38 Tl.upf
Hg 200.59 Hg.upf
Cd 112.41 Cd.upf
ATOMIC_POSITIONS crystal
Tl 0.756 0.000 0.000
Tl 0.244 0.000 0.000
Hg 0.479 0.959 0.670
Hg 0.398 0.291 0.619
Hg 0.108 0.709 0.381
Hg 0.953 0.411 0.129
Hg 0.094 0.188 0.284
Hg 0.542 0.589 0.871
Hg 0.892 0.291 0.619
Hg 0.602 0.709 0.381
Hg 0.458 0.411 0.129
Hg 0.906 0.812 0.716
Hg 0.521 0.041 0.330
Hg 0.047 0.589 0.871
Cd 0.000 0.000 0.500
Cd 0.297 0.595 0.606
Cd 0.703 0.405 0.394
Cd 0.637 0.275 0.878
Cd 0.363 0.725 0.122
CELL_PARAMETERS angstrom
-4.980 4.086 -1.712
-0.566 -2.576 8.475
6.195 7.905 0.844

! GGA-PBE Tl16Cd12Hg, relaxed; values from VASP
! Density ... 9.95 g cm⁻³
! Formation energy ... 0.019 eV per atom
! Crystal system ... monoclinic
! Symmetry ... No. 8
&SYSTEM
  ibrav = 0, nat = 29, ntyp = 3
/
ATOMIC_SPECIES
Tl 204.38 Tl.upf
Cd 112.41 Cd.upf
Hg 200.59 Hg.upf
ATOMIC_POSITIONS crystal
Tl 0.317 0.317 0.707
Tl 0.998 0.642 0.998
Tl 0.642 0.998 0.998
Tl 0.714 0.319 0.317
Tl 0.605 0.288 0.603
Tl 0.001 0.398 0.680
Tl 0.319 0.714 0.317
Tl 0.004 0.004 0.650
Tl 0.398 0.001 0.680
Tl 0.999 0.999 0.002
Tl 0.360 0.360 0.352
Tl 0.682 0.999 0.401
Tl 0.288 0.605 0.603
Tl 0.676 0.403 0.004
Tl 0.403 0.676 0.004
Tl 0.999 0.682 0.401
Cd 0.640 0.640 0.822
Cd 0.185 0.364 0.000
Cd 0.181 0.995 0.359
Cd 0.813 0.182 0.817
Cd 0.637 0.820 0.631
Cd 0.367 0.998 0.186
Cd 0.808 0.808 0.184
Cd 0.998 0.367 0.186
Cd 0.364 0.185 0.000
Cd 0.820 0.637 0.631
Cd 0.182 0.813 0.817
Cd 0.995 0.181 0.359
Hg 0.605 0.605 0.291
CELL_PARAMETERS angstrom
9.558 -0.029 -3.378
-4.744 8.297 -3.378
0.000 -0.001 10.157

! GGA-PBE Tl4CdHg4, relaxed; values from VASP
! Density ... 9.68 g cm⁻³
! Energy above the lowest structure with this stoichiometry ... 0.078 eV per atom
! Formation energy ... 0.097 eV per atom
! Crystal system ... tetragonal
! Symmetry ... No. 121
&SYSTEM
  ibrav = 0, nat = 9, ntyp = 3
/
ATOMIC_SPECIES
Tl 204.38 Tl.upf
Hg 200.59 Hg.upf
Cd 112.41 Cd.upf
ATOMIC_POSITIONS crystal
Tl 0.500 0.000 0.000
Tl 0.668 0.668 0.335
Tl 0.332 0.332 0.665
Tl 0.000 0.500 0.000
Hg 0.077 0.077 0.682
Hg 0.395 0.923 0.318
Hg 0.923 0.395 0.318
Hg 0.605 0.605 0.682
Cd 0.000 0.000 0.000
CELL_PARAMETERS angstrom
8.085 0.000 0.000
0.000 8.085 0.000
-4.043 -4.043 4.547

! GGA-PBE Tl5Cd12Hg3, relaxed; values from VASP
! Density ... 7.68 g cm⁻³
! Formation energy ... 0.192 eV per atom
! Crystal system ... cubic
! Symmetry ... No. 230
&SYSTEM
  ibrav = 0, nat = 80, ntyp = 3
/
ATOMIC_SPECIES
Hg 200.59 Hg.upf
Cd 112.41 Cd.upf
Tl 204.38 Tl.upf
ATOMIC_POSITIONS crystal
Hg 0.750 0.875 0.625
Hg 0.875 0.750 0.125
Hg 0.250 0.625 0.875
Hg 0.250 0.125 0.375
Hg 0.125 0.875 0.750
Hg 0.625 0.375 0.750
Hg 0.625 0.250 0.375
Hg 0.375 0.625 0.250
Hg 0.375 0.750 0.625
Hg 0.125 0.250 0.875
Hg 0.750 0.375 0.125
Hg 0.875 0.125 0.250
Cd 0.663 0.235 0.592
Cd 0.735 0.143 0.072
Cd 0.143 0.408 0.071
Cd 0.592 0.857 0.429
Cd 0.572 0.337 0.929
Cd 0.571 0.643 0.408
Cd 0.143 0.735 0.572
Cd 0.357 0.928 0.765
Cd 0.337 0.765 0.408
Cd 0.837 0.908 0.265
Cd 0.928 0.357 0.265
Cd 0.429 0.357 0.592
Cd 0.572 0.235 0.143
Cd 0.163 0.071 0.928
Cd 0.735 0.592 0.163
Cd 0.929 0.837 0.572
Cd 0.408 0.265 0.337
Cd 0.429 0.072 0.337
Cd 0.663 0.428 0.571
Cd 0.643 0.571 0.908
Cd 0.908 0.837 0.765
Cd 0.265 0.857 0.928
Cd 0.357 0.429 0.092
Cd 0.571 0.928 0.663
Cd 0.092 0.163 0.235
Cd 0.837 0.929 0.072
Cd 0.765 0.337 0.908
Cd 0.857 0.592 0.929
Cd 0.908 0.071 0.643
Cd 0.929 0.092 0.857
Cd 0.235 0.572 0.643
Cd 0.428 0.765 0.857
Cd 0.337 0.572 0.429
Cd 0.072 0.429 0.837
Cd 0.428 0.663 0.071
Cd 0.163 0.092 0.735
Cd 0.408 0.143 0.571
Cd 0.928 0.571 0.163
Cd 0.765 0.428 0.357
Cd 0.235 0.663 0.092
Cd 0.265 0.408 0.837
Cd 0.857 0.265 0.428
Cd 0.592 0.735 0.663
Cd 0.643 0.072 0.235
Cd 0.092 0.929 0.357
Cd 0.071 0.163 0.428
Cd 0.071 0.908 0.143
Cd 0.072 0.643 0.735
Tl 0.375 0.250 0.125
Tl 0.000 0.500 0.500
Tl 0.625 0.750 0.875
Tl 0.875 0.625 0.750
Tl 0.000 0.500 0.000
Tl 0.000 0.000 0.500
Tl 0.750 0.625 0.375
Tl 0.250 0.875 0.125
Tl 0.875 0.250 0.625
Tl 0.250 0.375 0.625
Tl 0.625 0.875 0.250
Tl 0.500 0.500 0.500
Tl 0.125 0.750 0.375
Tl 0.125 0.375 0.250
Tl 0.500 0.000 0.500
Tl 0.500 0.000 0.000
Tl 0.375 0.125 0.750
Tl 0.500 0.500 0.000
Tl 0.000 0.000 0.000
Tl 0.750 0.125 0.875
CELL_PARAMETERS angstrom
-3.541 -1.197 14.475
14.596 -2.688 -1.798
-3.148 13.813 -4.775

! GGA-PBE TlCdHg2, relaxed; values from VASP
! Density ... 11.02 g cm⁻³
! Energy above the lowest structure with this stoichiometry ... 0.016 eV per atom
! Formation energy ... 0.008 eV per atom
! Crystal system ... tetragonal
! Symmetry ... No. 119
&SYSTEM
  ibrav = 0, nat = 4, ntyp = 3
/
ATOMIC_SPECIES
Cd 112.41 Cd.upf
Hg 200.59 Hg.upf
Tl 204.38 Tl.upf
ATOMIC_POSITIONS crystal
Cd 0.750 0.250 0.500
Hg 0.250 0.750 0.500
Hg 0.000 0.000 0.000
Tl 0.500 0.500 0.000
CELL_PARAMETERS angstrom
5.995 0.197 0.000
2.224 5.570 0.000
-4.109 -2.884 3.282

! GGA-PBE Tl3Cd3Hg, relaxed; values from VASP
! Density ... 8.73 g cm⁻³
! Energy above the lowest structure with this stoichiometry ... 0.038 eV per atom
! Formation energy ... 0.115 eV per atom
! Crystal system ... monoclinic
! Symmetry ... No. 11
&SYSTEM
  ibrav = 0, nat = 14, ntyp = 3
/
ATOMIC_SPECIES
Tl 204.38 Tl.upf
Cd 112.41 Cd.upf
Hg 200.59 Hg.upf
ATOMIC_POSITIONS crystal
Tl 0.750 0.435 0.219
Tl 0.750 0.783 0.565
Tl 0.250 0.219 0.783
Tl 0.250 0.217 0.435
Tl 0.750 0.781 0.217
Tl 0.250 0.565 0.781
Cd 0.250 0.227 0.114
Cd 0.750 0.114 0.887
Cd 0.250 0.887 0.773
Cd 0.250 0.886 0.113
Cd 0.750 0.113 0.227
Cd 0.750 0.773 0.886
Hg 0.250 0.667 0.333
Hg 0.750 0.333 0.667
CELL_PARAMETERS angstrom
-0.453 3.931 3.511
-0.325 -6.529 7.268
8.589 3.620 -2.944

! GGA-PBE Tl9CdHg2, relaxed; values from VASP
! Density ... 11.19 g cm⁻³
! Formation energy ... 0.029 eV per atom
! Crystal system ... tetragonal
! Symmetry ... No. 123
&SYSTEM
  ibrav = 0, nat = 12, ntyp = 3
/
ATOMIC_SPECIES
Tl 204.38 Tl.upf
Hg 200.59 Hg.upf
Cd 112.41 Cd.upf
ATOMIC_POSITIONS crystal
Tl 0.500 0.500 0.000
Tl 0.000 0.500 0.165
Tl 0.500 0.000 0.500
Tl 0.500 0.000 0.835
Tl 0.000 0.500 0.835
Tl 0.500 0.000 0.165
Tl 0.000 0.500 0.500
Tl 0.500 0.500 0.331
Tl 0.500 0.500 0.669
Hg 0.000 0.000 0.335
Hg 0.000 0.000 0.665
Cd 0.000 0.000 0.000
CELL_PARAMETERS angstrom
4.880 0.000 0.000
0.000 4.880 0.000
0.000 0.000 14.660

! GGA-PBE TlCd2Hg, relaxed; values from VASP
! Density ... 9.91 g cm⁻³
! Energy above the lowest structure with this stoichiometry ... 0.028 eV per atom
! Formation energy ... 0.048 eV per atom
! Crystal system ... monoclinic
! Symmetry ... No. 12
&SYSTEM
  ibrav = 0, nat = 4, ntyp = 3
/
ATOMIC_SPECIES
Hg 200.59 Hg.upf
Cd 112.41 Cd.upf
Tl 204.38 Tl.upf
ATOMIC_POSITIONS crystal
Hg 0.500 0.000 0.000
Cd 0.000 0.000 0.500
Cd 0.500 0.500 0.500
Tl 0.000 0.500 0.000
CELL_PARAMETERS angstrom
-0.156 3.383 -0.429
-0.936 -2.219 -5.779
-4.451 -0.704 3.960

! GGA-PBE Tl6CdHg2, relaxed; values from VASP
! Density ... 11.05 g cm⁻³
! Energy above the lowest structure with this stoichiometry ... 0.000 eV per atom
! Formation energy ... 0.009 eV per atom
! Crystal system ... monoclinic
! Symmetry ... No. 12
&SYSTEM
  ibrav = 0, nat = 9, ntyp = 3
/
ATOMIC_SPECIES
Cd 112.41 Cd.upf
Hg 200.59 Hg.upf
Tl 204.38 Tl.upf
ATOMIC_POSITIONS crystal
Cd 0.000 0.000 0.000
Hg 0.354 0.103 0.189
Hg 0.646 0.897 0.811
Tl 0.660 0.564 0.116
Tl 0.022 0.309 0.647
Tl 0.340 0.436 0.884
Tl 0.978 0.691 0.353
Tl 0.693 0.208 0.405
Tl 0.307 0.792 0.595
CELL_PARAMETERS angstrom
-3.493 -0.564 -0.431
-1.826 -3.964 5.248
-4.003 6.797 8.807

! GGA-PBE TlCdHg2, relaxed; values from VASP
! Density ... 10.90 g cm⁻³
! Energy above the lowest structure with this stoichiometry ... 0.037 eV per atom
! Formation energy ... 0.030 eV per atom
! Crystal system ... orthorhombic
! Symmetry ... No. 35
&SYSTEM
  ibrav = 0, nat = 4, ntyp = 3
/
ATOMIC_SPECIES
Hg 200.59 Hg.upf
Tl 204.38 Tl.upf
Cd 112.41 Cd.upf
ATOMIC_POSITIONS crystal
Hg 0.000 0.000 0.995
Hg 0.500 0.500 0.241
Tl 0.000 0.000 0.504
Cd 0.500 0.500 0.760
CELL_PARAMETERS angstrom
-2.469 -0.753 2.194
2.967 0.063 1.634
-1.275 9.827 1.936

! GGA-PBE Tl9CdHg6, relaxed; values from VASP
! Density ... 11.25 g cm⁻³
! Formation energy ... 0.003 eV per atom
! Crystal system ... tetragonal
! Symmetry ... No. 87
&SYSTEM
  ibrav = 0, nat = 16, ntyp = 3
/
ATOMIC_SPECIES
Hg 200.59 Hg.upf
Tl 204.38 Tl.upf
Cd 112.41 Cd.upf
ATOMIC_POSITIONS crystal
Hg 0.864 0.338 0.000
Hg 0.338 0.136 0.000
Hg 0.237 0.237 0.473
Hg 0.136 0.662 0.000
Hg 0.763 0.763 0.527
Hg 0.662 0.864 0.000
Tl 0.322 0.520 0.318
Tl 0.798 0.322 0.318
Tl 0.996 0.798 0.318
Tl 0.202 0.678 0.682
Tl 0.520 0.996 0.318
Tl 0.500 0.500 0.000
Tl 0.480 0.004 0.682
Tl 0.678 0.480 0.682
Tl 0.004 0.202 0.682
Cd 0.000 0.000 0.000
CELL_PARAMETERS angstrom
-4.553 -0.357 7.236
-7.218 0.959 -4.495
5.422 -6.616 -1.974

! GGA-PBE TlCdHg2, relaxed; values from VASP
! Density ... 10.97 g cm⁻³
! Energy above the lowest structure with this stoichiometry ... 0.022 eV per atom
! Formation energy ... 0.015 eV per atom
! Crystal system ... monoclinic
! Symmetry ... No. 12
&SYSTEM
  ibrav = 0, nat = 4, ntyp = 3
/
ATOMIC_SPECIES
Tl 204.38 Tl.upf
Hg 200.59 Hg.upf
Cd 112.41 Cd.upf
ATOMIC_POSITIONS crystal
Tl 0.750 0.750 0.750
Hg 0.508 0.508 0.487
Hg 0.992 0.992 0.013
Cd 0.250 0.250 0.250
CELL_PARAMETERS angstrom
5.753 0.081 -0.051
4.761 3.231 -0.051
1.219 0.384 5.962